Computed, not measured: a relaxed WCOF2 crystal at the GGA+U level of DFT.

Lattice parameters (Å, degrees): 4.4860 4.4860 3.0405 90.00 90.00 90.00
Last column: nearest neighbours and their distance in Å.
Fractional positions:
W (0.0000, 0.0000, 0.0000)  8 F 2.71
C (0.5000, 0.5000, 0.5000)  2 O 1.52
O (0.5000, 0.5000, 0.0000)  2 C 1.52
F (0.0000, 0.5000, 0.5000)  2 C 2.24
F (0.5000, 0.0000, 0.5000)  2 C 2.24

Results
* magnetic moment: 4.0 Bohr magnetons per cell
* excess energy over the best structure of this formula in the dataset: 553 meV/atom